Ba2CdPt | meta-GGA SCAN | single point on PBEsol structure

Output
N(E_F)	0.722	states/eV per atom
energy relative to the elements	-0.59	eV/atom
crystal system	orthorhombic
space-group type	Amm2 (38)
uncorrected energy	-182.07	eV per cell

Lattice parameters (Å, degrees): 4.6645 4.7023 6.4648 90.00 111.15 90.00
Fractional coordinates of all 4 atoms:
Ba1 0.3942 0.5000 0.7884
Ba2 0.1116 0.0000 0.2231
Pt1 0.6870 0.5000 0.3741
Cd1 0.8121 0.0000 0.6242